<a>
Computed, not measured: a geometry-optimized TbNdHo structure at the PBE level of DFT.

POSCAR file:
```
TbNdHo
1.0
-0.255 -3.428 0.610
5.674 -0.410 0.068
-2.833 1.068 4.817
Nd Tb Ho
1 1 1
Direct
0.667 0.667 0.333 Nd
0.166 0.000 0.000 Tb
0.167 0.333 0.667 Ho
```

Calculated values
D(E_F)	1.437	states/eV per atom
space group	P-6m2 (187)

<b>
Computed, not measured: a geometry-optimized TbNdHo structure at the PBE level of DFT.

POSCAR file:
```
TbNdHo
1.0
3.591 0.000 0.000
0.000 3.591 0.000
-1.796 -1.796 7.608
Nd Tb Ho
1 1 1
Direct
0.333 0.333 0.666 Nd
0.002 0.002 0.004 Tb
0.665 0.665 0.330 Ho
```

Calculated values
D(E_F)	1.344	states/eV per atom
space group	I4mm (107)

<c>
Computed, not measured: a geometry-optimized TbNdHo structure at the PBE level of DFT.

POSCAR file:
```
TbNdHo
1.0
4.855 0.000 0.000
0.000 4.855 0.000
0.000 0.000 8.709
Ho Nd Tb
2 2 2
Direct
0.000 0.000 0.000 Ho
0.500 0.500 0.000 Ho
0.000 0.500 0.696 Nd
0.500 0.000 0.304 Nd
0.000 0.500 0.298 Tb
0.500 0.000 0.702 Tb
```

Calculated values
D(E_F)	1.328	states/eV per atom
space group	P4/nmm (129)

<d>
Computed, not measured: a geometry-optimized TbNdHo structure at the PBE level of DFT.

POSCAR file:
```
TbNdHo
1.0
-1.424 -0.685 3.182
-4.657 -1.483 -2.403
4.064 -9.235 -2.175
Tb Nd Ho
2 2 2
Direct
0.045 0.250 0.581 Tb
0.955 0.750 0.419 Tb
0.205 0.250 0.911 Nd
0.795 0.750 0.089 Nd
0.382 0.250 0.270 Ho
0.618 0.750 0.730 Ho
```

Calculated values
D(E_F)	1.672	states/eV per atom
space group	P2_1/m (11)

Order from most stable to least stable according to the calculation: <b>, <d>, <a>, <c>